# 1
Compound: PbAuNO
Source: OQMD via LeMat-Bulk
Functional: PBE
Structure: relaxed

Lattice parameters (Å, degrees): 4.151 4.151 8.580 90.00 90.00 90.00
Space group P4/nmm (No. 129, origin choice 2)
One atom of each set of equivalent atoms:
Pb  0.250  0.250  0.133 (multiplicity 2)
Au  0.250  0.750  0.500 (multiplicity 2)
N  0.250  0.250  0.562 (multiplicity 2)
O  0.250  0.750  0.000 (multiplicity 2)

---

# 2
Compound: PbAuNO
Source: OQMD via LeMat-Bulk
Functional: PBE
Structure: relaxed

Lattice parameters (Å, degrees): 3.729 7.659 5.475 90.00 90.00 90.00
Space group Pmc2_1 (No. 26)
One atom of each set of equivalent atoms:
Pb  0.000  0.151  0.000 (multiplicity 2)
Au  0.500  0.489  0.662 (multiplicity 2)
N  0.500  0.302  0.925 (multiplicity 2)
O  0.000  0.112  0.387 (multiplicity 2)

---

# 3
Compound: PbAuNO
Source: OQMD via LeMat-Bulk
Functional: PBE
Structure: relaxed

Lattice parameters (Å, degrees): 3.928 6.000 5.981 90.00 90.00 90.00
Space group Pmc2_1 (No. 26)
One atom of each set of equivalent atoms:
Pb  0.000  0.202  0.000 (multiplicity 2)
Au  0.500  0.257  0.446 (multiplicity 2)
N  0.000  0.188  0.398 (multiplicity 2)
O  0.500  0.375  0.936 (multiplicity 2)

---

# 4
Compound: PbAuNO
Source: OQMD via LeMat-Bulk
Functional: PBE
Structure: relaxed

Lattice parameters (Å, degrees): 6.242 7.342 6.013 90.00 90.00 90.00
Space group Pca2_1 (No. 29)
One atom of each set of equivalent atoms:
Pb  0.080  0.151  0.000 (multiplicity 4)
Au  0.157  0.689  0.048 (multiplicity 4)
N  0.078  0.123  0.620 (multiplicity 4)
O  0.040  0.572  0.518 (multiplicity 4)

---

# 5
Compound: PdAuNO
Source: OQMD via LeMat-Bulk
Functional: PBE
Structure: relaxed

Lattice parameters (Å, degrees): 4.266 4.266 5.963 90.00 90.00 90.00
Space group P4/nmm (No. 129, origin choice 2)
One atom of each set of equivalent atoms:
Pd  0.250  0.250  0.060 (multiplicity 2)
Au  0.250  0.750  0.500 (multiplicity 2)
N  0.250  0.250  0.420 (multiplicity 2)
O  0.250  0.750  0.000 (multiplicity 2)

---

# 6
Compound: PdAuNO
Source: OQMD via LeMat-Bulk
Functional: PBE
Structure: relaxed

Lattice parameters (Å, degrees): 5.636 6.934 5.715 90.00 90.00 90.00
Space group Pca2_1 (No. 29)
One atom of each set of equivalent atoms:
Pd  0.075  0.123  0.000 (multiplicity 4)
Au  0.161  0.689  0.980 (multiplicity 4)
N  0.081  0.117  0.379 (multiplicity 4)
O  0.003  0.417  0.028 (multiplicity 4)

---

# 7
Compound: PdAuNO
Source: OQMD via LeMat-Bulk
Functional: PBE
Structure: relaxed

Lattice parameters (Å, degrees): 3.057 5.884 6.037 90.00 90.00 90.00
Space group Pmc2_1 (No. 26)
One atom of each set of equivalent atoms:
Pd  0.000  0.167  0.000 (multiplicity 2)
Au  0.500  0.427  0.505 (multiplicity 2)
N  0.500  0.284  0.813 (multiplicity 2)
O  0.000  0.144  0.351 (multiplicity 2)

---

# 8
Compound: PdAuNO
Source: OQMD via LeMat-Bulk
Functional: PBE
Structure: relaxed

Lattice parameters (Å, degrees): 3.186 5.742 5.982 90.00 90.00 90.00
Space group Pmc2_1 (No. 26)
One atom of each set of equivalent atoms:
Pd  0.000  0.082  0.000 (multiplicity 2)
Au  0.500  0.316  0.482 (multiplicity 2)
N  0.000  0.199  0.694 (multiplicity 2)
O  0.500  0.325  0.115 (multiplicity 2)

---

no.,V (Å³/atom),ΔE to the lowest computed polymorph (meV/atom)
1,18.48,78
2,19.55,0
3,17.62,148
4,17.22,203
5,13.57,127
6,13.96,0
7,13.57,32
8,13.68,78